Entry 1:
The following is a PBE calculation of crystalline Cd2BiSe at its relaxed geometry, from Alexandria.

```
Cd2BiSe
1.0
6.651 0.000 0.000
0.000 6.651 0.000
3.325 3.325 6.157
Cd Se Bi
4 2 2
Direct
0.375 0.405 0.750
0.875 0.845 0.750
0.155 0.625 0.250
0.595 0.125 0.250
0.500 0.500 0.000
0.250 0.750 0.500
0.750 0.250 0.500
0.000 0.000 0.000
```

Output
Formation energy without anion corrections in eV per formula unit: -0.55

***

Entry 2:
The following is a PBE calculation of crystalline Pm5NpAs6 at its relaxed geometry, from Alexandria.

```
Pm5NpAs6
1.0
7.172 -0.112 -1.351
-3.875 6.035 -1.351
0.141 0.254 7.293
As Pm Np
6 5 1
Direct
0.592 0.918 0.754
0.082 0.408 0.246
0.918 0.592 0.754
0.408 0.082 0.246
0.756 0.756 0.246
0.244 0.244 0.754
0.334 0.666 0.000
0.168 0.832 0.500
0.500 0.500 0.500
0.832 0.168 0.500
0.666 0.334 0.000
0.000 0.000 0.000
```

Output
ΔE_f in eV/atom: -1.3815